## LiAs2 (SCAN)

Data for a PBEsol-optimized structure of LiAs2. Values from VASP.

```
&SYSTEM
  ibrav = 0, nat = 6, ntyp = 2
/
ATOMIC_SPECIES
As 74.92 As.upf
Li 6.94 Li.upf
CELL_PARAMETERS angstrom
-2.2703 -1.1764 2.5657
4.1135 -1.6471 2.8846
1.4111 6.2576 1.5608
ATOMIC_POSITIONS angstrom
As 2.0299 -0.1813 4.2700
As 3.0931 -1.0710 2.2459
As 0.1612 4.5050 4.7652
As 1.2244 3.6154 2.7411
Li 3.2600 2.3573 3.9654
Li -0.0057 1.0768 3.0457
```

Summary:
- DFT total energy (eV/atom) = -14.57
- crystal system = orthorhombic
- space group = No. 63
- E_form (eV/atom) = -0.308
- ρ (g cm⁻³) = 4.3

***

## LiMgAs2 (SCAN)

Data for a PBEsol-optimized structure of LiMgAs2. Values from VASP.

```
&SYSTEM
  ibrav = 0, nat = 4, ntyp = 3
/
ATOMIC_SPECIES
As 74.92 As.upf
Mg 24.30 Mg.upf
Li 6.94 Li.upf
CELL_PARAMETERS angstrom
3.0506 0.0000 0.0000
0.0000 4.8678 -0.0442
0.0000 -1.2072 4.7160
ATOMIC_POSITIONS angstrom
As 0.0000 -0.6036 2.3580
As 0.0000 2.4339 -0.0221
Mg 1.5253 0.0000 0.0000
Li 1.5253 1.8303 2.3359
```

Summary:
- DFT total energy (eV/atom) = -12.34
- crystal system = orthorhombic
- space group = No. 65
- E_form (eV/atom) = -0.402
- ρ (g cm⁻³) = 4.3

***

## LiMgAs2 (SCAN)

Data for a PBEsol-optimized structure of LiMgAs2. Values from VASP.

```
&SYSTEM
  ibrav = 0, nat = 4, ntyp = 3
/
ATOMIC_SPECIES
As 74.92 As.upf
Mg 24.30 Mg.upf
Li 6.94 Li.upf
CELL_PARAMETERS angstrom
3.4747 0.0000 0.0000
0.0000 4.1032 0.0000
-1.7373 -2.0516 5.1014
ATOMIC_POSITIONS angstrom
As 1.7373 2.0516 5.0189
As 0.0000 2.0516 3.0228
Mg 1.7373 0.0000 2.2539
Li 0.0000 0.0000 5.0086
```

Summary:
- DFT total energy (eV/atom) = -12.30
- crystal system = orthorhombic
- space group = No. 44
- E_form (eV/atom) = -0.367
- ρ (g cm⁻³) = 4.1

***

## Li2MgAs2 (SCAN)

Data for a PBEsol-optimized structure of Li2MgAs2. Values from VASP.

```
&SYSTEM
  ibrav = 0, nat = 10, ntyp = 3
/
ATOMIC_SPECIES
As 74.92 As.upf
Mg 24.30 Mg.upf
Li 6.94 Li.upf
CELL_PARAMETERS angstrom
2.9067 0.0000 0.0000
0.0000 7.6419 0.0000
0.0000 0.0000 7.6419
ATOMIC_POSITIONS angstrom
As 0.0000 2.4578 6.2787
As 0.0000 6.2787 5.1842
As 0.0000 5.1842 1.3632
As 0.0000 1.3632 2.4578
Mg 0.0000 0.0000 0.0000
Mg 0.0000 3.8210 3.8210
Li 1.4533 0.9190 4.7400
Li 1.4533 4.7400 6.7229
Li 1.4533 6.7229 2.9019
Li 1.4533 2.9019 0.9190
```

Summary:
- DFT total energy (eV/atom) = -10.50
- crystal system = tetragonal
- space group = No. 127
- E_form (eV/atom) = -0.476
- ρ (g cm⁻³) = 3.7

***

## Li2Mg2As (SCAN)

Data for a PBEsol-optimized structure of Li2Mg2As. Values from VASP.

```
&SYSTEM
  ibrav = 0, nat = 10, ntyp = 3
/
ATOMIC_SPECIES
As 74.92 As.upf
Mg 24.30 Mg.upf
Li 6.94 Li.upf
CELL_PARAMETERS angstrom
-3.6732 2.4262 0.3314
-0.8720 -2.1331 5.9516
3.4310 4.8866 2.2541
ATOMIC_POSITIONS angstrom
As 0.0000 0.0000 0.0000
As 1.2795 1.3768 4.1028
Mg 0.3217 4.1328 2.7125
Mg 0.4139 3.8186 6.0353
Mg -1.4359 1.0469 5.8246
Mg -1.5281 1.3611 2.5017
Li 2.6287 3.4260 4.0554
Li 1.4594 1.3150 6.5494
Li -0.0697 -0.6724 4.1503
Li 1.0996 1.4385 1.6563
```

Summary:
- DFT total energy (eV/atom) = -7.23
- crystal system = tetragonal
- space group = No. 127
- E_form (eV/atom) = -0.249
- ρ (g cm⁻³) = 2.5

***

## LiMgAs3 (SCAN)

Data for a PBEsol-optimized structure of LiMgAs3. Values from VASP.

```
&SYSTEM
  ibrav = 0, nat = 5, ntyp = 3
/
ATOMIC_SPECIES
As 74.92 As.upf
Mg 24.30 Mg.upf
Li 6.94 Li.upf
CELL_PARAMETERS angstrom
-0.1734 -0.7461 -4.8830
-4.0594 -2.7624 0.5663
-2.8145 4.0303 -0.5159
ATOMIC_POSITIONS angstrom
As -2.0297 -1.3812 0.2831
As -1.4073 2.0151 -0.2579
As -0.0867 -0.3731 -2.4415
Mg 0.0000 0.0000 0.0000
Li -3.5237 0.2609 -2.4163
```

Summary:
- DFT total energy (eV/atom) = -13.17
- crystal system = cubic
- space group = No. 221
- E_form (eV/atom) = 0.415
- ρ (g cm⁻³) = 3.5

***

## LiMgAs2Se (SCAN)

Data for a PBEsol-optimized structure of LiMgAs2Se. Values from VASP.

```
&SYSTEM
  ibrav = 0, nat = 5, ntyp = 4
/
ATOMIC_SPECIES
As 74.92 As.upf
Mg 24.30 Mg.upf
Se 78.96 Se.upf
Li 6.94 Li.upf
CELL_PARAMETERS angstrom
4.9257 0.0000 0.0000
0.0000 4.9257 0.0000
0.0000 0.0000 5.0979
ATOMIC_POSITIONS angstrom
As 0.0000 2.4628 0.0000
As 2.4628 0.0000 0.0000
Mg 0.0000 0.0000 0.0000
Se 0.0000 0.0000 2.5489
Li 2.4628 2.4628 2.5489
```

Summary:
- DFT total energy (eV/atom) = -13.35
- crystal system = tetragonal
- space group = No. 123
- energy relative to the elements, uncorrected (eV per atom) = 0.217
- ρ (g cm⁻³) = 3.5

***

## Li2MnAs (SCAN)

Data for a PBEsol-optimized structure of Li2MnAs. Values from VASP.

```
&SYSTEM
  ibrav = 0, nat = 4, ntyp = 3
/
ATOMIC_SPECIES
As 74.92 As.upf
Mn 54.94 Mn.upf
Li 6.94 Li.upf
CELL_PARAMETERS angstrom
3.4071 0.0000 0.0000
0.0000 3.4071 0.0000
0.0000 0.0000 5.1127
ATOMIC_POSITIONS angstrom
As 1.7035 1.7035 2.5564
Mn 1.7035 1.7035 0.0000
Li 0.0000 0.0000 3.7487
Li 0.0000 0.0000 1.3640
```

Summary:
- DFT total energy (eV/atom) = -11.04
- crystal system = tetragonal
- space group = No. 123
- E_form (eV/atom) = -0.232
- ρ (g cm⁻³) = 4.0

***

## LiMnAs3 (SCAN)

Data for a PBEsol-optimized structure of LiMnAs3. Values from VASP.

```
&SYSTEM
  ibrav = 0, nat = 5, ntyp = 3
/
ATOMIC_SPECIES
As 74.92 As.upf
Mn 54.94 Mn.upf
Li 6.94 Li.upf
CELL_PARAMETERS angstrom
4.4943 0.0000 0.0000
0.0000 4.4943 0.0000
0.0000 0.0000 4.4943
ATOMIC_POSITIONS angstrom
As 0.0000 2.2471 0.0000
As 0.0000 0.0000 2.2471
As 2.2471 0.0000 0.0000
Mn 2.2471 2.2471 2.2471
Li 0.0000 0.0000 0.0000
```

Summary:
- DFT total energy (eV/atom) = -15.79
- crystal system = cubic
- space group = No. 221
- E_form (eV/atom) = 0.458
- ρ (g cm⁻³) = 5.2

***

## Li4MnAs (SCAN)

Data for a PBEsol-optimized structure of Li4MnAs. Values from VASP.

```
&SYSTEM
  ibrav = 0, nat = 6, ntyp = 3
/
ATOMIC_SPECIES
As 74.92 As.upf
Li 6.94 Li.upf
Mn 54.94 Mn.upf
CELL_PARAMETERS angstrom
-3.5920 -0.0514 -3.4784
-4.5662 -1.6855 1.1459
-3.8359 3.1918 0.3198
ATOMIC_POSITIONS angstrom
As 0.0000 0.0000 0.0000
Li -4.4965 0.5454 -0.7546
Li -6.4161 2.1427 -0.5946
Li -6.2940 0.5197 -2.4952
Li -6.7815 -0.2980 -0.1811
Mn -8.9956 1.0912 -1.5096
```

Summary:
- DFT total energy (eV/atom) = -8.00
- crystal system = cubic
- space group = No. 216
- E_form (eV/atom) = 0.000
- ρ (g cm⁻³) = 3.0

***

## LiMn3As (SCAN)

Data for a PBEsol-optimized structure of LiMn3As. Values from VASP.

```
&SYSTEM
  ibrav = 0, nat = 5, ntyp = 3
/
ATOMIC_SPECIES
As 74.92 As.upf
Mn 54.94 Mn.upf
Li 6.94 Li.upf
CELL_PARAMETERS angstrom
-2.3330 -1.8974 -2.8594
1.3967 -3.6833 1.3044
-3.1346 -0.2291 2.7094
ATOMIC_POSITIONS angstrom
As -2.0354 -2.9049 0.5772
Mn 0.6984 -1.8416 0.6522
Mn -1.5673 -0.1146 1.3547
Mn -1.1665 -0.9487 -1.4297
Li 0.0000 0.0000 0.0000
```

Summary:
- DFT total energy (eV/atom) = -14.90
- crystal system = cubic
- space group = No. 221
- E_form (eV/atom) = 0.572
- ρ (g cm⁻³) = 5.7

***

## Li3MnAs (SCAN)

Data for a PBEsol-optimized structure of Li3MnAs. Values from VASP.

```
&SYSTEM
  ibrav = 0, nat = 5, ntyp = 3
/
ATOMIC_SPECIES
As 74.92 As.upf
Mn 54.94 Mn.upf
Li 6.94 Li.upf
CELL_PARAMETERS angstrom
4.7310 0.0000 0.0000
0.0000 4.7310 0.0000
0.0000 0.0000 4.7310
ATOMIC_POSITIONS angstrom
As 0.0000 0.0000 0.0000
Mn 2.3655 2.3655 2.3655
Li 0.0000 2.3655 0.0000
Li 0.0000 0.0000 2.3655
Li 2.3655 0.0000 0.0000
```

Summary:
- DFT total energy (eV/atom) = -9.18
- crystal system = cubic
- space group = No. 221
- E_form (eV/atom) = -0.060
- ρ (g cm⁻³) = 2.4

***

## LiMn2As2 (SCAN)

Data for a PBEsol-optimized structure of LiMn2As2. Values from VASP.

```
&SYSTEM
  ibrav = 0, nat = 5, ntyp = 3
/
ATOMIC_SPECIES
As 74.92 As.upf
Mn 54.94 Mn.upf
Li 6.94 Li.upf
CELL_PARAMETERS angstrom
-2.2724 1.2313 -2.7349
1.4781 -2.5258 -2.3654
-3.3270 -2.9242 4.0366
ATOMIC_POSITIONS angstrom
As -2.8431 -2.7265 1.1348
As -1.2782 -1.4922 -2.1984
Mn -1.1230 -3.0486 -0.4395
Mn -2.9983 -1.1701 -0.6242
Li 0.0000 0.0000 0.0000
```

Summary:
- DFT total energy (eV/atom) = -16.27
- crystal system = tetragonal
- space group = No. 139
- E_form (eV/atom) = -0.416
- ρ (g cm⁻³) = 5.8

***

## Li2MnAs (SCAN)

Data for a PBEsol-optimized structure of Li2MnAs. Values from VASP.

```
&SYSTEM
  ibrav = 0, nat = 4, ntyp = 3
/
ATOMIC_SPECIES
As 74.92 As.upf
Mn 54.94 Mn.upf
Li 6.94 Li.upf
CELL_PARAMETERS angstrom
3.6861 0.0000 0.0000
0.0000 3.6861 0.0000
0.0000 0.0000 4.1527
ATOMIC_POSITIONS angstrom
As 0.0000 0.0000 2.0763
Mn 1.8430 1.8430 2.0763
Li 0.0000 1.8430 0.0000
Li 1.8430 0.0000 0.0000
```

Summary:
- DFT total energy (eV/atom) = -11.31
- crystal system = tetragonal
- space group = No. 123
- E_form (eV/atom) = -0.501
- ρ (g cm⁻³) = 4.2

***

## LiMnAsO4 (SCAN)

Data for a PBEsol-optimized structure of LiMnAsO4. Values from VASP.

```
&SYSTEM
  ibrav = 0, nat = 28, ntyp = 4
/
ATOMIC_SPECIES
Li 6.94 Li.upf
Mn 54.94 Mn.upf
As 74.92 As.upf
O 16.00 O.upf
CELL_PARAMETERS angstrom
-3.8773 1.6601 2.5322
-3.2763 -4.8146 -1.8602
3.2348 -5.5109 8.5659
ATOMIC_POSITIONS angstrom
Li 0.0000 0.0000 0.0000
Li -0.3213 -1.9254 5.5491
Li -1.6382 -2.4073 -0.9301
Li -1.9594 -4.3327 4.6189
Mn -1.6056 -5.1141 0.9954
Mn -1.8448 -7.0747 6.4908
Mn -2.3132 -3.5513 8.2425
Mn -2.0740 -1.5908 2.7470
As -4.1600 -5.3182 6.0224
As -4.3676 -3.1663 0.8188
As 0.2411 -3.3472 3.2155
As 0.4488 -5.4991 8.4191
O -3.0170 -3.7575 -0.0299
O -0.9018 -4.9079 9.2678
O -1.6130 -6.4216 4.3924
O -2.3058 -2.2438 4.8455
O -1.7461 -1.0360 0.7336
O -2.1728 -7.6294 8.5043
O -4.0649 -4.7564 4.4008
O 0.1461 -3.9090 4.8371
O -2.6048 -4.9429 6.6898
O 0.0845 -6.3842 6.9739
O 0.1137 -1.6244 3.3587
O -5.4311 -4.3792 1.4533
O -1.3140 -3.7225 2.5480
O -4.0033 -2.2812 2.2639
O -4.0326 -7.0410 5.8792
O 1.5123 -4.2862 7.7846
```

Summary:
- DFT total energy (eV/atom) = -11.27
- crystal system = orthorhombic
- space group = No. 62
- energy relative to the elements, uncorrected (eV per atom) = -1.880
- ρ (g cm⁻³) = 4.1

***

## LiMoAs2 (SCAN)

Data for a PBEsol-optimized structure of LiMoAs2. Values from VASP.

```
&SYSTEM
  ibrav = 0, nat = 4, ntyp = 3
/
ATOMIC_SPECIES
Mo 95.94 Mo.upf
As 74.92 As.upf
Li 6.94 Li.upf
CELL_PARAMETERS angstrom
-2.8339 -1.3030 -0.3024
-0.0039 -0.7006 3.0548
-2.7848 5.7629 1.3181
ATOMIC_POSITIONS angstrom
Mo -2.8113 1.8797 2.0352
As -2.0120 4.1613 0.9518
As -3.6067 0.2987 0.0639
Li -1.4189 -1.0018 1.3762
```

Summary:
- DFT total energy (eV/atom) = -19.76
- crystal system = tetragonal
- space group = No. 123
- E_form (eV/atom) = -0.348
- ρ (g cm⁻³) = 6.5

***

## LiMoAs2 (SCAN)

Data for a PBEsol-optimized structure of LiMoAs2. Values from VASP.

```
&SYSTEM
  ibrav = 0, nat = 4, ntyp = 3
/
ATOMIC_SPECIES
Mo 95.94 Mo.upf
As 74.92 As.upf
Li 6.94 Li.upf
CELL_PARAMETERS angstrom
3.2023 0.0000 0.0000
1.6011 2.7732 0.0000
1.6011 0.9244 7.5905
ATOMIC_POSITIONS angstrom
Mo 0.0000 0.0000 0.0000
As 1.6011 0.9244 1.7485
As 4.8034 2.7732 5.8420
Li 3.2023 1.8488 3.7952
```

Summary:
- DFT total energy (eV/atom) = -19.77
- crystal system = trigonal
- space group = No. 166
- E_form (eV/atom) = -0.353
- ρ (g cm⁻³) = 6.2

***

## LiMoAs2 (SCAN)

Data for a PBEsol-optimized structure of LiMoAs2. Values from VASP.

```
&SYSTEM
  ibrav = 0, nat = 4, ntyp = 3
/
ATOMIC_SPECIES
As 74.92 As.upf
Li 6.94 Li.upf
Mo 95.94 Mo.upf
CELL_PARAMETERS angstrom
-2.3969 -2.1683 0.2211
2.7833 -2.9319 1.4212
-0.2188 3.0456 3.7609
ATOMIC_POSITIONS angstrom
As 0.2983 -0.2958 0.3339
As 1.1528 -0.9902 2.7883
Li 0.3989 -2.7626 0.9682
Mo -1.4895 -0.5562 2.1338
```

Summary:
- DFT total energy (eV/atom) = -19.57
- crystal system = monoclinic
- space group = No. 8
- E_form (eV/atom) = -0.153
- ρ (g cm⁻³) = 6.8

***

## LiMoAs2 (SCAN)

Data for a PBEsol-optimized structure of LiMoAs2. Values from VASP.

```
&SYSTEM
  ibrav = 0, nat = 4, ntyp = 3
/
ATOMIC_SPECIES
As 74.92 As.upf
Li 6.94 Li.upf
Mo 95.94 Mo.upf
CELL_PARAMETERS angstrom
4.2088 0.0000 0.0000
-2.1044 3.9741 0.0031
0.0000 -2.2315 3.5685
ATOMIC_POSITIONS angstrom
As 2.1044 1.4292 0.8937
As 0.0000 0.3134 2.6780
Li 2.1044 -1.1157 1.7843
Mo 0.0000 0.0000 0.0000
```

Summary:
- DFT total energy (eV/atom) = -19.52
- crystal system = tetragonal
- space group = No. 139
- E_form (eV/atom) = -0.104
- ρ (g cm⁻³) = 7.0

***

## LiMo2AsO9 (SCAN)

Data for a PBEsol-optimized structure of LiMo2AsO9. Values from VASP.

```
&SYSTEM
  ibrav = 0, nat = 26, ntyp = 4
/
ATOMIC_SPECIES
Li 6.94 Li.upf
Mo 95.94 Mo.upf
As 74.92 As.upf
O 16.00 O.upf
CELL_PARAMETERS angstrom
-4.1245 -3.5677 0.0531
2.7432 -3.2643 -6.2557
4.8553 -5.5384 5.0191
ATOMIC_POSITIONS angstrom
Li 3.2715 -3.7994 -1.1638
Li 0.8931 -5.1550 3.0816
Mo -0.2184 -3.9155 0.0293
Mo 1.3762 -5.8130 -3.6071
Mo 5.5316 -6.4058 -0.7308
Mo 4.3830 -5.0390 1.8885
As 0.2080 -0.2372 0.2150
As 3.9566 -8.7172 1.7028
O 6.7854 -7.8494 -0.3338
O 1.4400 -3.8025 -0.3034
O 0.6138 -6.9778 2.2484
O 4.4725 -7.2320 -1.7649
O 5.0942 -5.8369 3.5230
O 2.3618 -9.0578 -1.7378
O 0.4214 -6.7287 -2.5470
O 2.7246 -5.1520 2.2212
O 4.5200 -7.2107 1.1638
O -0.3554 -1.7438 0.7541
O -0.2009 -3.9071 1.9507
O -0.5738 -5.5444 -0.2775
O 0.1223 -4.3694 -4.0040
O -0.9296 -3.1176 -1.6051
O 2.3769 -9.0644 1.1913
O 4.3655 -5.0473 -0.0329
O 2.4352 -4.9867 -2.5729
O -2.3369 -3.4577 0.7796
```

Summary:
- DFT total energy (eV/atom) = -13.34
- crystal system = orthorhombic
- space group = No. 59
- energy relative to the elements, uncorrected (eV per atom) = -1.924
- ρ (g cm⁻³) = 3.8